This record from the Alexandria database describes an optimized crystal structure of CaLaSc2. The functional is PBE. Values from VASP.

The structure in Quantum ESPRESSO input format:
```
&SYSTEM
  ibrav = 0, nat = 8, ntyp = 3
/
ATOMIC_SPECIES
Ca 40.08 Ca.upf
La 138.91 La.upf
Sc 44.96 Sc.upf
ATOMIC_POSITIONS crystal
Ca 0.000 0.000 0.000
Ca 0.500 0.500 0.000
La 0.000 0.000 0.500
La 0.500 0.500 0.500
Sc 0.000 0.500 0.253
Sc 0.000 0.500 0.747
Sc 0.500 0.000 0.253
Sc 0.500 0.000 0.747
CELL_PARAMETERS angstrom
3.671 0.000 0.000
0.000 5.718 0.000
0.000 0.000 11.685
```

Properties
ΔE to the lowest computed polymorph = 116 meV per atom
formation energy from the elements = 0.9 eV/f.u.
Fermi-level density of states = 18.1 states/eV per cell
crystal system = orthorhombic
total moment = 0.00 μB/atom
space-group type = Cmmm, No. 65
DFT total energy = -4.671 eV/atom